An optimized crystal structure of YBe2B5O11, computed with GGA-PBEsol.

abc: 25.591 4.336 6.658
angles: 90.00 90.00 90.00
Element x y z (fractional)
Y 0.080 0.134 0.000
Y 0.420 0.634 0.500
Y 0.580 0.366 0.000
Y 0.920 0.866 0.500
Be 0.206 0.335 0.860
Be 0.209 0.833 0.083
Be 0.291 0.333 0.583
Be 0.294 0.835 0.360
Be 0.706 0.165 0.860
Be 0.709 0.667 0.083
Be 0.791 0.167 0.583
Be 0.794 0.665 0.360
B 0.001 0.466 0.592
B 0.056 0.978 0.571
B 0.129 0.625 0.672
B 0.129 0.854 0.341
B 0.248 0.821 0.718
B 0.252 0.321 0.218
B 0.371 0.125 0.172
B 0.371 0.354 0.841
B 0.444 0.478 0.071
B 0.499 0.966 0.092
B 0.501 0.034 0.592
B 0.556 0.522 0.571
B 0.629 0.646 0.341
B 0.629 0.875 0.672
B 0.748 0.679 0.718
B 0.752 0.179 0.218
B 0.871 0.146 0.841
B 0.871 0.375 0.172
B 0.944 0.022 0.071
B 0.999 0.534 0.092
O 0.009 0.784 0.559
O 0.043 0.283 0.651
O 0.048 0.627 0.059
O 0.082 0.009 0.376
O 0.092 0.846 0.720
O 0.145 0.419 0.813
O 0.149 0.646 0.478
O 0.150 0.917 0.159
O 0.216 0.970 0.854
O 0.220 0.471 0.085
O 0.248 0.505 0.717
O 0.252 0.005 0.217
O 0.280 0.971 0.585
O 0.284 0.470 0.354
O 0.350 0.417 0.659
O 0.351 0.146 0.978
O 0.355 0.919 0.313
O 0.408 0.346 0.220
O 0.418 0.509 0.876
O 0.452 0.127 0.559
O 0.457 0.783 0.151
O 0.491 0.284 0.059
O 0.509 0.716 0.559
O 0.543 0.217 0.651
O 0.548 0.873 0.059
O 0.582 0.491 0.376
O 0.592 0.654 0.720
O 0.645 0.081 0.813
O 0.649 0.854 0.478
O 0.650 0.583 0.159
O 0.716 0.530 0.854
O 0.720 0.029 0.085
O 0.748 0.995 0.717
O 0.752 0.495 0.217
O 0.780 0.529 0.585
O 0.784 0.030 0.354
O 0.850 0.083 0.659
O 0.851 0.354 0.978
O 0.855 0.581 0.313
O 0.908 0.154 0.220
O 0.918 0.991 0.876
O 0.952 0.373 0.559
O 0.957 0.717 0.151
O 0.991 0.216 0.059

Properties
crystal system	orthorhombic
ΔE_f (raw)	-2.71	eV per atom



An optimized crystal structure of BeBOs, computed with GGA-PBEsol.

abc: 4.122 4.122 5.610
angles: 114.93 114.93 41.20
Element x y z (fractional)
Be 0.127 0.127 0.419
Be 0.873 0.873 0.581
B 0.379 0.379 0.850
B 0.621 0.621 0.150
Os 0.355 0.355 0.225
Os 0.645 0.645 0.775

Properties
crystal system	monoclinic
ΔE_f	-0.277	eV per atom



An optimized crystal structure of BeBP2, computed with GGA-PBEsol.

abc: 5.684 5.684 5.684
angles: 130.15 130.15 73.17
Element x y z (fractional)
Be 0.000 0.000 0.000
Be 0.750 0.250 0.500
B 0.250 0.750 0.500
B 0.500 0.500 0.000
P 0.153 0.625 0.028
P 0.375 0.403 0.528
P 0.597 0.125 0.972
P 0.875 0.847 0.472

Properties
crystal system	tetragonal
ΔE_f	-0.134	eV per atom



An optimized crystal structure of BeBPPb2, computed with GGA-PBEsol.

abc: 5.072 5.072 3.632
angles: 90.00 90.00 90.00
Element x y z (fractional)
Be 0.000 0.000 0.000
B 0.000 0.000 0.500
P 0.500 0.500 0.000
Pb 0.000 0.500 0.500
Pb 0.500 0.000 0.500

Properties
crystal system	tetragonal
ΔE_f	0.578	eV per atom



An optimized crystal structure of BeBTe2P, computed with GGA-PBEsol.

abc: 4.928 4.928 3.615
angles: 90.00 90.00 90.00
Element x y z (fractional)
Be 0.000 0.000 0.000
B 0.000 0.000 0.500
Te 0.000 0.500 0.500
Te 0.500 0.000 0.500
P 0.500 0.500 0.000

Properties
crystal system	tetragonal
ΔE_f (raw)	0.67	eV per atom



An optimized crystal structure of Rb2YBeB, computed with GGA-PBEsol.

abc: 6.653 6.653 3.670
angles: 90.00 90.00 90.00
Element x y z (fractional)
Rb 0.000 0.500 0.000
Rb 0.500 0.000 0.000
Y 0.000 0.000 0.500
Be 0.500 0.500 0.000
B 0.500 0.500 0.500

Properties
crystal system	tetragonal
ΔE_f	1.080	eV per atom



An optimized crystal structure of BeReB2, computed with GGA-PBEsol.

abc: 4.547 4.547 4.547
angles: 107.51 107.51 113.47
Element x y z (fractional)
Be 0.000 0.000 0.000
Be 0.750 0.250 0.500
Re 0.250 0.750 0.500
Re 0.500 0.500 0.000
B 0.079 0.125 0.454
B 0.375 0.921 0.046
B 0.671 0.625 0.546
B 0.875 0.329 0.954

Properties
crystal system	tetragonal
ΔE_f	0.587	eV per atom



An optimized crystal structure of BeBRh2, computed with GGA-PBEsol.

abc: 3.821 3.821 3.821
angles: 60.00 60.00 60.00
Element x y z (fractional)
Be 0.000 0.000 0.000
B 0.500 0.500 0.500
Rh 0.250 0.250 0.250
Rh 0.750 0.750 0.750

Properties
crystal system	cubic
ΔE_f	-0.466	eV per atom